! CdBClO2 | Alexandria | PBE-GGA | relaxed; values from VASP
&SYSTEM
  ibrav = 0, nat = 10, ntyp = 4
/
ATOMIC_SPECIES
Cd 112.41 Cd.upf
B 10.81 B.upf
Cl 35.45 Cl.upf
O 16.00 O.upf
CELL_PARAMETERS angstrom
6.5129 0.0000 0.0000
0.0000 3.9129 0.0000
-2.3573 0.0000 7.8499
ATOMIC_POSITIONS angstrom
Cd 0.8367 0.9782 1.5399
Cd 3.3189 2.9347 6.3100
B -0.0434 2.9347 7.0943
B 4.1990 0.9782 0.7557
Cl 0.2994 2.9347 3.0274
Cl 3.8562 0.9782 4.8225
O -1.2275 2.9347 7.5914
O 1.1117 2.9347 6.6160
O 3.0439 0.9782 1.2339
O 5.3831 0.9782 0.2585
! energy relative to the elements, uncorrected = -1555 meV per atom
! energy = -5.4266 eV/atom